## P
Density functional theory data (PBE) for Cs2LiNbS4 after structural relaxation.

```
Cs2LiNbS4
1.0
0.000 7.182 12.598
2.979 0.000 12.598
2.979 7.182 0.000
Cs Li Nb S
4 2 2 8
Cartesian
2.234 5.386 1.281
3.723 8.977 7.580
2.234 5.386 17.616
3.723 8.977 23.914
0.745 1.795 3.149
5.213 12.568 22.046
2.234 5.386 9.448
3.723 8.977 15.747
3.608 4.061 8.173
3.608 6.712 10.723
5.098 7.652 17.022
5.098 10.303 14.472
0.860 4.061 10.723
0.860 6.712 8.173
2.349 7.652 14.472
2.349 10.303 17.022
```

Computed properties:
ρ in Mg/m³: 3.04

---

## Q
Density functional theory data (PBE) for Cs2LiNbS4 after structural relaxation.

```
Cs2LiNbS4
1.0
7.024 0.000 0.000
-0.033 7.480 0.000
-0.541 -1.292 9.923
Cs Li Nb S
4 2 2 8
Cartesian
0.902 1.301 1.532
1.781 5.018 5.084
4.669 1.170 4.838
5.548 4.887 8.391
2.743 4.893 0.759
3.707 1.296 9.164
1.117 1.264 7.439
5.333 4.924 2.483
0.470 5.019 1.716
1.143 1.271 5.157
2.242 3.130 8.230
2.279 -0.532 8.234
4.171 6.720 1.689
4.208 3.059 1.692
5.308 4.917 4.766
5.980 1.169 8.206
```

Computed properties:
ρ in Mg/m³: 3.15

---

Top of the stability list: Q, leading by 5 meV per atom.

---

## P
Density functional theory data (PBE) for Cs4LiPb4O6 after structural relaxation.

```
Cs4LiPb4O6
1.0
6.559 -4.658 0.000
6.559 4.658 0.000
-5.650 0.000 6.777
Cs Li Pb O
4 1 4 6
Cartesian
1.622 0.000 1.398
-0.877 -0.280 5.122
8.346 -0.280 1.655
5.847 0.000 5.379
3.735 0.414 3.388
4.972 2.126 1.485
2.497 2.126 5.292
4.903 -2.294 1.515
2.566 -2.294 5.262
-2.306 2.246 6.729
3.735 2.331 3.388
4.830 -0.095 1.940
9.775 2.246 0.047
2.639 -0.095 4.836
6.559 -2.358 0.000
```

Computed properties:
ρ in Mg/m³: 5.87

---

## Q
Density functional theory data (PBE) for Cs4LiPb4O6 after structural relaxation.

```
Cs4LiPb4O6
1.0
6.855 -4.343 0.000
6.855 4.343 0.000
-6.176 0.000 6.890
Cs Li Pb O
4 1 4 6
Cartesian
1.496 0.000 1.404
-1.335 0.104 5.026
8.870 0.104 1.864
6.039 0.000 5.486
3.768 0.261 3.445
5.099 2.189 1.426
2.436 2.189 5.463
5.028 -2.081 1.598
2.507 -2.081 5.291
6.855 2.109 0.000
3.436 -2.092 0.059
3.768 -1.558 3.445
4.099 -2.092 6.830
2.296 -4.291 5.054
5.239 -4.291 1.836
```

Computed properties:
ρ in Mg/m³: 5.92

---

Top of the stability list: P, leading by 70 meV per atom.

---

## P
Density functional theory data (PBE) for CsLiSO4 after structural relaxation.

```
CsLiSO4
1.0
5.083 0.000 0.000
0.000 5.378 0.000
-0.464 0.000 9.186
Cs Li S O
2 2 2 8
Cartesian
1.110 1.344 1.631
3.510 4.033 7.555
0.590 4.033 4.448
4.029 1.344 4.738
1.184 1.344 6.393
3.435 4.033 2.793
0.538 0.143 5.770
0.538 2.546 5.770
0.946 1.344 7.855
1.974 4.033 3.073
2.645 1.344 6.113
3.673 4.033 1.331
4.082 2.832 3.416
4.082 5.234 3.416
```

Computed properties:
ρ in Mg/m³: 3.12

---

## Q
Density functional theory data (PBE) for CsLiSO4 after structural relaxation.

```
CsLiSO4
1.0
5.497 0.000 0.000
0.000 9.146 0.000
-5.447 0.000 9.491
Cs Li S O
4 4 4 16
Cartesian
-1.315 9.142 2.705
-4.039 4.578 7.451
1.365 0.005 6.786
4.088 4.569 2.040
1.397 1.600 0.815
-1.327 2.974 5.560
1.377 6.173 3.931
-1.347 7.547 8.676
-1.361 6.402 5.535
1.363 7.318 0.789
-1.313 1.829 8.702
1.411 2.745 3.956
-2.352 6.809 4.491
-5.075 6.910 9.237
-1.337 4.921 5.662
1.386 8.799 0.917
0.968 6.722 2.097
-1.756 6.998 6.843
0.057 2.247 4.350
-2.667 2.326 9.095
2.717 6.821 0.396
-0.007 6.899 5.141
1.806 2.149 2.648
-0.918 2.425 7.394
-1.336 0.348 8.574
1.387 4.226 3.829
5.125 2.236 0.254
2.402 2.337 5.000
```

Computed properties:
ρ in Mg/m³: 3.28

---

Top of the stability list: Q, leading by 22 meV per atom.

---

## P
Density functional theory data (PBE) for CsLi2P2 after structural relaxation.

```
CsLi2P2
1.0
8.264 0.000 0.000
0.000 8.264 0.000
0.000 0.000 3.772
Cs Li P
2 4 4
Cartesian
0.000 0.000 0.000
4.132 4.132 0.000
0.887 3.245 0.000
3.245 7.377 0.000
5.019 0.887 0.000
7.377 5.019 0.000
0.786 4.918 1.886
3.346 0.786 1.886
4.918 7.478 1.886
7.478 3.346 1.886
```

Computed properties:
ρ in Mg/m³: 2.69

---

## Q
Density functional theory data (PBE) for CsLi2P2 after structural relaxation.

```
CsLi2P2
1.0
-2.444 2.444 4.622
2.444 -2.444 4.622
2.444 2.444 -4.622
Cs Li P
1 2 2
Cartesian
0.000 0.000 0.000
2.444 0.000 2.311
0.000 2.444 2.311
0.000 0.000 3.539
0.000 0.000 5.705
```

Computed properties:
ρ in Mg/m³: 3.14

---

Top of the stability list: Q, leading by 110 meV per atom.

---

## P
Density functional theory data (PBE) for CsLiP3 after structural relaxation.

```
CsLiP3
1.0
4.830 0.000 0.000
0.000 4.830 0.000
0.000 0.000 4.830
Cs Li P
1 1 3
Cartesian
0.000 0.000 0.000
2.415 2.415 2.415
0.000 2.415 2.415
2.415 0.000 2.415
2.415 2.415 0.000
```

Computed properties:
ρ in Mg/m³: 3.43

---

## Q
Density functional theory data (PBE) for CsLiP3 after structural relaxation.

```
CsLiP3
1.0
5.607 0.000 0.000
0.000 5.607 0.000
0.000 0.000 5.607
Cs Li P
1 1 3
Cartesian
0.000 0.000 0.000
2.804 2.804 2.804
0.000 0.000 2.804
0.000 2.804 0.000
2.804 0.000 0.000
```

Computed properties:
ρ in Mg/m³: 2.19

---

Top of the stability list: P, leading by 1106 meV per atom.

---

## P
Density functional theory data (PBE) for Cs2LiP after structural relaxation.

```
Cs2LiP
1.0
5.568 -4.047 0.000
5.568 4.047 0.000
0.000 0.000 6.456
Cs Li P
4 2 2
Cartesian
1.864 1.154 1.614
1.864 -1.154 4.842
9.273 1.154 1.614
9.273 -1.154 4.842
5.568 0.000 0.000
5.568 0.000 3.228
5.568 1.814 1.614
5.568 -1.814 4.842
```

Computed properties:
ρ in Mg/m³: 3.47

---

## Q
Density functional theory data (PBE) for Cs2LiP after structural relaxation.

```
Cs2LiP
1.0
-2.584 2.584 11.595
2.584 -2.584 11.595
2.584 2.584 -11.595
Cs Li P
4 2 2
Cartesian
3.876 1.289 -2.899
1.289 1.292 2.899
-1.292 1.296 8.697
1.296 1.292 14.494
0.000 0.000 0.000
0.000 2.584 5.798
2.584 0.000 5.798
0.000 0.000 11.595
```

Computed properties:
ρ in Mg/m³: 3.26

---

Top of the stability list: P, leading by 646 meV per atom.

---

## P
Density functional theory data (PBE) for Cs2LiP2 after structural relaxation.

```
Cs2LiP2
1.0
7.382 0.000 0.000
0.000 7.382 0.000
0.000 0.000 5.751
Cs Li P
4 2 4
Cartesian
1.311 2.380 0.000
2.380 6.070 0.000
5.002 1.311 0.000
6.070 5.002 0.000
0.000 0.000 2.875
3.691 3.691 2.875
0.766 4.456 2.875
2.925 0.766 2.875
4.456 6.616 2.875
6.616 2.925 2.875
```

Computed properties:
ρ in Mg/m³: 3.55

---

## Q
Density functional theory data (PBE) for Cs2LiP2 after structural relaxation.

```
Cs2LiP2
1.0
5.234 -3.657 0.000
5.234 3.657 0.000
-0.679 0.000 8.547
Cs Li P
4 2 4
Cartesian
3.163 2.585 7.407
6.286 2.585 5.414
3.502 -2.585 3.133
6.625 -2.585 1.141
5.064 0.524 2.137
4.724 -0.524 6.411
3.223 1.301 4.141
6.905 1.301 0.133
2.883 -1.301 8.414
6.565 -1.301 4.407
```

Computed properties:
ρ in Mg/m³: 3.40

---

Top of the stability list: Q, leading by 57 meV per atom.

---

## P
Density functional theory data (PBE) for CsLiP2 after structural relaxation.

```
CsLiP2
1.0
-2.432 2.432 9.108
2.432 -2.432 9.108
2.432 2.432 -9.108
Cs Li P
2 2 4
Cartesian
2.432 1.216 2.277
0.000 1.216 6.831
2.432 -1.216 6.831
0.000 3.648 2.277
0.000 0.000 0.000
1.216 1.216 -4.554
1.216 -1.216 4.554
0.000 2.432 0.000
```

Computed properties:
ρ in Mg/m³: 3.11

---

## Q
Density functional theory data (PBE) for CsLiP2 after structural relaxation.

```
CsLiP2
1.0
0.000 3.734 3.734
3.734 0.000 3.734
3.734 3.734 0.000
Cs Li P
1 1 2
Cartesian
0.000 0.000 0.000
3.734 3.734 3.734
1.867 1.867 1.867
5.600 5.600 5.600
```

Computed properties:
ρ in Mg/m³: 3.22

---

Top of the stability list: P, leading by 767 meV per atom.

---

## P
Density functional theory data (PBE) for CsLi3Pb after structural relaxation.

```
CsLi3Pb
1.0
5.519 0.000 0.000
0.000 5.519 0.000
0.000 0.000 5.519
Cs Li Pb
1 3 1
Cartesian
0.000 0.000 0.000
0.000 2.760 2.760
2.760 0.000 2.760
2.760 2.760 0.000
2.760 2.760 2.760
```

Computed properties:
ρ in Mg/m³: 3.56

---

## Q
Density functional theory data (PBE) for CsLi3Pb after structural relaxation.

```
CsLi3Pb
1.0
5.386 0.000 0.000
0.000 5.386 0.000
0.000 0.000 5.386
Cs Li Pb
1 3 1
Cartesian
0.000 0.000 0.000
0.000 0.000 2.693
0.000 2.693 0.000
2.693 0.000 0.000
2.693 2.693 2.693
```

Computed properties:
ρ in Mg/m³: 3.84

---

Top of the stability list: P, leading by 886 meV per atom.

---

## P
Density functional theory data (PBE) for Cs2LiPb after structural relaxation.

```
Cs2LiPb
1.0
-6.819 6.819 2.694
6.819 -6.819 2.694
6.819 6.819 -2.694
Cs Li Pb
4 2 2
Cartesian
1.102 3.410 0.673
-3.410 5.717 2.020
-1.102 10.229 0.673
3.410 7.922 2.020
0.000 0.000 0.000
0.000 6.819 1.347
6.819 0.000 1.347
0.000 0.000 2.694
```

Computed properties:
ρ in Mg/m³: 3.18

---

## Q
Density functional theory data (PBE) for Cs2LiPb after structural relaxation.

```
Cs2LiPb
1.0
0.000 4.718 4.718
4.718 0.000 4.718
4.718 4.718 0.000
Cs Li Pb
2 1 1
Cartesian
2.359 2.359 2.359
7.077 7.077 7.077
0.000 0.000 0.000
4.718 4.718 4.718
```

Computed properties:
ρ in Mg/m³: 3.79

---

Top of the stability list: P, leading by 161 meV per atom.

---

## P
Density functional theory data (PBE) for CsLiPd3 after structural relaxation.

```
CsLiPd3
1.0
4.723 0.000 0.000
0.000 4.723 0.000
0.000 0.000 4.723
Cs Li Pd
1 1 3
Cartesian
0.000 0.000 0.000
2.362 2.362 2.362
0.000 2.362 2.362
2.362 0.000 2.362
2.362 2.362 0.000
```

Computed properties:
ρ in Mg/m³: 7.24

---

## Q
Density functional theory data (PBE) for CsLiPd3 after structural relaxation.

```
CsLiPd3
1.0
5.392 0.000 0.000
0.000 5.392 0.000
0.000 0.000 5.392
Cs Li Pd
1 1 3
Cartesian
0.000 0.000 0.000
2.696 2.696 2.696
0.000 0.000 2.696
0.000 2.696 0.000
2.696 0.000 0.000
```

Computed properties:
ρ in Mg/m³: 4.86

---

Top of the stability list: P, leading by 818 meV per atom.